Compound: Th2InPb
Source: Alexandria
Functional: PBE
Structure: optimized geometry

Cell lengths 4.4345, 4.4345, 8.2658 Å; angles 74.44, 74.44, 60.00 degrees
Last column: nearest neighbours and their distance in Å.
Fractional positions:
Pb: 0.5000 0.5000 0.5000  6 Th 3.21
In: 0.0000 0.0000 0.0000  6 Th 3.24
Th: 0.2491 0.2491 0.2527  3 Pb 3.21, 3 In 3.24
Th: 0.7509 0.7509 0.7473  3 Pb 3.21, 3 In 3.24

Summary:
- E_form: -0.10 eV/atom
- Offset from the most stable computed form: 189 meV per atom
- Density: 9.75 g/cm3